No. 1
Here is a geometry-optimized Rb3NbPb structure from Alexandria via LeMat-Bulk. Energies are from PBE.

a = 7.0396 Å, b = 7.0396 Å, c = 7.0396 Å
α = 90.00°, β = 90.00°, γ = 90.00°
Closest atoms and distances in Å follow each position.
Space group Pm-3m (No. 221)
Asymmetric unit:
1 Rb 0.0000 0.0000 0.5000  2 Pb 3.52
2 Nb 0.5000 0.5000 0.5000  12 Rb 4.98
3 Pb 0.0000 0.0000 0.0000  6 Rb 3.52

Properties
* N(E_F): 1.71 states/eV per atom
* total magnetic moment: 4.0 μB per formula unit
* distance to the lowest polymorph of the same formula: 0.0 kJ/mol of atoms

=====

No. 2
Here is a geometry-optimized RbNbPb2 structure from Alexandria via LeMat-Bulk. Energies are from PBE.

a = 6.8472 Å, b = 6.8472 Å, c = 16.9296 Å
α = 90.00°, β = 90.00°, γ = 90.00°
Closest atoms and distances in Å follow each position.
Space group I-42d (No. 122)
Asymmetric unit:
1 Rb 0.0000 0.0000 0.0000  8 Pb 4.22-4.54
2 Nb 0.0000 0.0000 0.5000  4 Pb 2.73
3 Pb 0.0298 0.2500 0.6250  2 Nb 2.73

Properties
* N(E_F): 0.60 states/eV per atom
* total magnetic moment: 0.0 μB per formula unit
* distance to the lowest polymorph of the same formula: 0.0 kJ/mol of atoms